Density functional theory data (PBE) for crystalline Y2ZrFe at its relaxed geometry.

```
data_Y2ZrFe
_cell_length_a 4.5722
_cell_length_b 4.5722
_cell_length_c 9.1383
_cell_angle_alpha 90.00
_cell_angle_beta 90.00
_cell_angle_gamma 90.00
_symmetry_space_group_name_H-M 'I 4/m m m'
_symmetry_Int_Tables_number 139
_symmetry_space_group_name_Hall '-I 4 2'
loop_
_atom_site_label
_atom_site_type_symbol
_atom_site_fract_x
_atom_site_fract_y
_atom_site_fract_z
Y1 Y 0.0000 0.5000 0.2500
Zr1 Zr 0.0000 0.0000 0.0000
Fe1 Fe 0.0000 0.0000 0.5000
```

Properties
Density (kg/m3): 5648
Total magnetization (μB per formula unit): 2.73
ΔE_f (kJ/mol of atoms): 36.28
E above lowest polymorph (eV per atom): 0.337
N(E_F) (states/eV/f.u.): 7.74